Record 1
Entry from Alexandria via LeMat-Bulk: an optimized crystal structure of Ca2TaSiAs (PBE).

abc: 5.767 5.767 4.855
angles: 90.00 90.00 90.00
Fractional positions:
Ca 0.500 0.000 0.000
Si 0.500 0.500 0.500
As 0.000 0.000 0.500
Ca 0.000 0.500 0.000
Ta 0.000 0.000 0.000

E_tot = -4.357 eV/atom
magnetic moment = 1.8 μB per formula unit

***

Record 2
Entry from Alexandria via LeMat-Bulk: an optimized crystal structure of Zn2Cd2GaCu5 (PBE).

abc: 3.746 9.001 9.001
angles: 90.00 90.00 90.00
Fractional positions:
Cu 0.500 0.070 0.805
Cu 0.500 0.430 0.305
Zn 0.000 0.623 0.877
Zn 0.000 0.877 0.377
Zn 0.000 0.123 0.623
Ga 0.000 0.000 0.000
Cd 0.000 0.675 0.175
Cu 0.500 0.930 0.195
Cu 0.500 0.570 0.695
Cu 0.500 0.805 0.930
Ga 0.000 0.500 0.500
Zn 0.000 0.377 0.123
Cd 0.000 0.825 0.675
Cd 0.000 0.325 0.825
Cu 0.500 0.695 0.430
Cu 0.500 0.195 0.070
Cd 0.000 0.175 0.325
Cu 0.500 0.000 0.500
Cu 0.500 0.305 0.570
Cu 0.500 0.500 0.000

E_tot = -2.728 eV/atom
DFT formation energy = 5.8 kJ per mole of atoms
magnetic moment = 0.0 μB per formula unit

***

Record 3
Entry from Alexandria via LeMat-Bulk: an optimized crystal structure of Te2PCl (PBE).

abc: 3.643 3.644 7.301
angles: 90.00 90.00 90.00
Fractional positions:
Te 0.000 0.000 0.552
Cl 0.500 0.500 0.250
Te 0.000 0.000 0.948
P 0.500 0.500 0.750

relative energy among the computed polymorphs = 338 meV per atom
E_tot = -3.142 eV/atom
magnetic moment = 0.0 μB per formula unit